The following is a DFT calculation (PBE) of an optimized crystal structure of HoTmGa4Pt2.

Its crystal system is orthorhombic.

The space group is Amm2 (No. 38) and the conventional cell measures 6.7013, 4.3400 and 10.0875 Å, with angles of 90.00, 90.00 and 90.00 degrees. The distinct sites, in fractional coordinates, are Ho at (0.0000, 0.0000, 0.0000), Tm at (0.5000, 0.0000, 0.8328), Ga at (0.1985, 0.0000, 0.2871), Ga at (0.3026, 0.0000, 0.5467), Pt at (0.0000, 0.0000, 0.7113) and Pt at (0.5000, 0.0000, 0.1218).

The following is a DFT calculation (PBE) of an optimized crystal structure of HoPuGa.

The calculation puts the energy above the most stable polymorph in this dataset at 0.0 kJ/mol of atoms. Its crystal system is cubic.

The space group is F-43m (No. 216) and the conventional cell measures 6.9097, 6.9097 and 6.9097 Å, with angles of 90.00, 90.00 and 90.00 degrees. The distinct sites, in fractional coordinates, are Ho at (0.0000, 0.0000, 0.0000), Pu at (0.0000, 0.0000, 0.5000) and Ga at (0.2500, 0.2500, 0.2500).

The following is a DFT calculation (PBE) of an optimized crystal structure of RbHoGa.

Its crystal system is cubic.

The space group is F-43m (No. 216) and the conventional cell measures 7.4156, 7.4156 and 7.4156 Å, with angles of 90.00, 90.00 and 90.00 degrees. The distinct sites, in fractional coordinates, are Rb at (0.0000, 0.0000, 0.0000), Ho at (0.2500, 0.2500, 0.7500) and Ga at (0.0000, 0.0000, 0.5000).

The following is a DFT calculation (PBE) of an optimized crystal structure of RbHoGaSe3.

Its crystal system is orthorhombic.

The space group is Cmcm (No. 63) and the conventional cell measures 4.5526, 14.9385 and 10.9061 Å, with angles of 90.00, 90.00 and 90.00 degrees. The distinct sites, in fractional coordinates, are Rb at (0.0000, 0.2478, 0.2500), Ho at (0.0000, 0.5000, 0.0000), Ga at (0.0000, 0.0161, 0.7500), Se at (0.0000, 0.1181, 0.5622) and Se at (0.0000, 0.4389, 0.7500).

The following is a DFT calculation (PBE) of an optimized crystal structure of HoGaRe.

Its crystal system is cubic.

The space group is F-43m (No. 216) and the conventional cell measures 6.5603, 6.5603 and 6.5603 Å, with angles of 90.00, 90.00 and 90.00 degrees. The distinct sites, in fractional coordinates, are Ho at (0.0000, 0.0000, 0.0000), Ga at (0.2500, 0.2500, 0.7500) and Re at (0.2500, 0.2500, 0.2500).

The following is a DFT calculation (PBE) of an optimized crystal structure of SrHoGaS3.

Its crystal system is orthorhombic.

The space group is Cmcm (No. 63) and the conventional cell measures 4.0610, 14.1917 and 9.8114 Å, with angles of 90.00, 90.00 and 90.00 degrees. The distinct sites, in fractional coordinates, are Sr at (0.0000, 0.2431, 0.2500), Ho at (0.0000, 0.0000, 0.0000), Ga at (0.0000, 0.4797, 0.7500), S at (0.0000, 0.1068, 0.7500) and S at (0.0000, 0.3642, 0.5480).

In the order shown, the computed energy values come out to -5.09 -7.32 -2.22 -4.40 -5.54 -4.96 eV per atom.